Sr2TcRu | Alexandria via LeMat-Bulk | PBE | optimized geometry; E_form = 1.033 eV per atom; DOS at the Fermi energy = 4.091 states/eV per cell; energy above the lowest structure with this stoichiometry = 856 meV per atom; SG = No. 10
1.0
4.602 0.000 0.000
0.000 3.229 0.026
0.000 3.193 6.445
Tc Ru Sr
1 1 2
direct
0.500 0.250 0.250 Tc
0.500 0.750 0.750 Ru
0.000 0.004 0.996 Sr
0.000 0.496 0.504 Sr